# PBE MnP2, relaxed
# - formation enthalpy at 0 K (eV per atom) = -0.0947
# - density of states at the Fermi level (states/eV/cell) = 4.14
data_MnP2
_cell_length_a 8.176
_cell_length_b 2.743
_cell_length_c 3.802
_cell_angle_alpha 90.00
_cell_angle_beta 97.05
_cell_angle_gamma 90.00
_space_group_name_H-M_alt 'C 1 m 1'
_space_group_IT_number 8
loop_
_space_group_symop_operation_xyz
'x,y,z'
'x,-y,z'
'x+1/2,y+1/2,z'
'x+1/2,-y+1/2,z'
loop_
_atom_site_label
_atom_site_type_symbol
_atom_site_fract_x
_atom_site_fract_y
_atom_site_fract_z
_atom_site_occupancy
Mn1 Mn 0.000 0.000 0.000 1
P1 P 0.279 0.000 0.079 1
P2 P 0.470 0.000 0.514 1

# PBE MnP5, relaxed
# - relative energy among the computed polymorphs (meV/atom) = 433
# - formation enthalpy at 0 K (eV per atom) = 0.4019
# - density of states at the Fermi level (states/eV/cell) = 3.42
data_MnP5
_cell_length_a 2.703
_cell_length_b 2.703
_cell_length_c 12.253
_cell_angle_alpha 90.00
_cell_angle_beta 90.00
_cell_angle_gamma 90.00
_space_group_name_H-M_alt 'P 4/m m m'
_space_group_IT_number 123
_space_group_name_Hall '-P 4 2'
loop_
_atom_site_label
_atom_site_type_symbol
_atom_site_fract_x
_atom_site_fract_y
_atom_site_fract_z
_atom_site_occupancy
Mn1 Mn 0.000 0.000 0.000 1
P1 P 0.000 0.000 0.350 1
P2 P 0.500 0.500 0.114 1
P3 P 0.500 0.500 0.500 1

# PBE MnP2, relaxed
# - formation enthalpy at 0 K (eV per atom) = -0.1051
# - density of states at the Fermi level (states/eV/cell) = 2.99
data_MnP2
_cell_length_a 2.804
_cell_length_b 9.986
_cell_length_c 2.710
_cell_angle_alpha 90.00
_cell_angle_beta 90.00
_cell_angle_gamma 90.00
_space_group_name_H-M_alt 'C m m m'
_space_group_IT_number 65
_space_group_name_Hall '-C 2 2'
loop_
_atom_site_label
_atom_site_type_symbol
_atom_site_fract_x
_atom_site_fract_y
_atom_site_fract_z
_atom_site_occupancy
Mn1 Mn 0.000 0.000 0.000 1
P1 P 0.000 0.363 0.500 1

# PBE MnP2, relaxed
# - formation enthalpy at 0 K (eV per atom) = 0.3796
# - density of states at the Fermi level (states/eV/cell) = 1.94
data_MnP2
_cell_length_a 4.3368
_cell_length_b 4.3368
_cell_length_c 2.5356
_cell_angle_alpha 90.00
_cell_angle_beta 90.00
_cell_angle_gamma 120.00
_space_group_name_H-M_alt 'P 6/m m m'
_space_group_IT_number 191
_space_group_name_Hall '-P 6 2'
loop_
_atom_site_label
_atom_site_type_symbol
_atom_site_fract_x
_atom_site_fract_y
_atom_site_fract_z
_atom_site_occupancy
Mn1 Mn 0.0000 0.0000 0.0000 1
P1 P 0.3333 0.6667 0.5000 1

# PBE MnP5, relaxed
# - relative energy among the computed polymorphs (meV/atom) = 488
# - formation enthalpy at 0 K (eV per atom) = 0.4572
# - density of states at the Fermi level (states/eV/cell) = 3.57
data_MnP5
_cell_length_a 4.6480
_cell_length_b 4.6480
_cell_length_c 4.6968
_cell_angle_alpha 90.00
_cell_angle_beta 90.00
_cell_angle_gamma 120.00
_space_group_name_H-M_alt 'P -6 2 m'
_space_group_IT_number 189
_space_group_name_Hall 'P -6 -2'
loop_
_atom_site_label
_atom_site_type_symbol
_atom_site_fract_x
_atom_site_fract_y
_atom_site_fract_z
_atom_site_occupancy
Mn1 Mn 0.0000 0.0000 0.0000 1
P1 P 0.0000 0.7229 0.5000 1
P2 P 0.3333 0.6667 0.0000 1

# PBE MnP2, relaxed
# - formation enthalpy at 0 K (eV per atom) = -0.2904
# - density of states at the Fermi level (states/eV/cell) = 1.49
data_MnP2
_cell_length_a 3.2514
_cell_length_b 3.2514
_cell_length_c 4.7897
_cell_angle_alpha 90.00
_cell_angle_beta 90.00
_cell_angle_gamma 120.00
_space_group_name_H-M_alt 'P -6 m 2'
_space_group_IT_number 187
_space_group_name_Hall 'P -6 2'
loop_
_atom_site_label
_atom_site_type_symbol
_atom_site_fract_x
_atom_site_fract_y
_atom_site_fract_z
_atom_site_occupancy
Mn1 Mn 0.0000 0.0000 0.0000 1
P1 P 0.3333 0.6667 0.2688 1

# PBE MnP5, relaxed
# - relative energy among the computed polymorphs (meV/atom) = 224
# - formation enthalpy at 0 K (eV per atom) = 0.1927
# - density of states at the Fermi level (states/eV/cell) = 4.56
data_MnP5
_cell_length_a 4.539
_cell_length_b 3.073
_cell_length_c 13.544
_cell_angle_alpha 90.00
_cell_angle_beta 90.00
_cell_angle_gamma 90.00
_space_group_name_H-M_alt 'A m m 2'
_space_group_IT_number 38
loop_
_space_group_symop_operation_xyz
'x,y,z'
'-x,-y,z'
'-x,y,z'
'x,-y,z'
'x,y+1/2,z+1/2'
'-x,-y+1/2,z+1/2'
'-x,y+1/2,z+1/2'
'x,-y+1/2,z+1/2'
loop_
_atom_site_label
_atom_site_type_symbol
_atom_site_fract_x
_atom_site_fract_y
_atom_site_fract_z
_atom_site_occupancy
Mn1 Mn 0.000 0.000 0.000 1
P1 P 0.000 0.000 0.372 1
P2 P 0.000 0.000 0.638 1
P3 P 0.500 0.000 0.316 1
P4 P 0.500 0.000 0.584 1
P5 P 0.500 0.000 0.952 1

# PBE MnP2, relaxed
# - formation enthalpy at 0 K (eV per atom) = -0.0630
# - density of states at the Fermi level (states/eV/cell) = 1.71
data_MnP2
_cell_length_a 2.863
_cell_length_b 3.033
_cell_length_c 4.499
_cell_angle_alpha 90.00
_cell_angle_beta 90.00
_cell_angle_gamma 90.00
_space_group_name_H-M_alt 'P m m 2'
_space_group_IT_number 25
loop_
_space_group_symop_operation_xyz
'x,y,z'
'-x,-y,z'
'-x,y,z'
'x,-y,z'
loop_
_atom_site_label
_atom_site_type_symbol
_atom_site_fract_x
_atom_site_fract_y
_atom_site_fract_z
_atom_site_occupancy
Mn1 Mn 0.000 0.000 0.000 1
P1 P 0.500 0.000 0.385 1
P2 P 0.500 0.500 0.762 1

# PBE MnP2, relaxed
# - formation enthalpy at 0 K (eV per atom) = -0.2330
# - density of states at the Fermi level (states/eV/cell) = 3.45
data_MnP2
_cell_length_a 2.872
_cell_length_b 4.979
_cell_length_c 6.061
_cell_angle_alpha 90.00
_cell_angle_beta 90.00
_cell_angle_gamma 90.00
_space_group_name_H-M_alt 'I m m 2'
_space_group_IT_number 44
loop_
_space_group_symop_operation_xyz
'x,y,z'
'-x,-y,z'
'-x,y,z'
'x,-y,z'
'x+1/2,y+1/2,z+1/2'
'-x+1/2,-y+1/2,z+1/2'
'-x+1/2,y+1/2,z+1/2'
'x+1/2,-y+1/2,z+1/2'
loop_
_atom_site_label
_atom_site_type_symbol
_atom_site_fract_x
_atom_site_fract_y
_atom_site_fract_z
_atom_site_occupancy
Mn1 Mn 0.000 0.000 0.000 1
P1 P 0.000 0.219 0.339 1

# PBE MnP2, relaxed
# - formation enthalpy at 0 K (eV per atom) = 0.1275
# - density of states at the Fermi level (states/eV/cell) = 1.91
data_MnP2
_cell_length_a 4.1881
_cell_length_b 4.1881
_cell_length_c 2.5008
_cell_angle_alpha 90.00
_cell_angle_beta 90.00
_cell_angle_gamma 120.00
_space_group_name_H-M_alt 'P 6/m m m'
_space_group_IT_number 191
_space_group_name_Hall '-P 6 2'
loop_
_atom_site_label
_atom_site_type_symbol
_atom_site_fract_x
_atom_site_fract_y
_atom_site_fract_z
_atom_site_occupancy
Mn1 Mn 0.0000 0.0000 0.0000 1
P1 P 0.3333 0.6667 0.0000 1

# PBE MnP, relaxed
# - formation enthalpy at 0 K (eV per atom) = -0.3017
# - density of states at the Fermi level (states/eV/cell) = 4.94
data_MnP
_cell_length_a 3.651
_cell_length_b 3.661
_cell_length_c 9.745
_cell_angle_alpha 90.00
_cell_angle_beta 90.00
_cell_angle_gamma 90.00
_space_group_name_H-M_alt 'I m m m'
_space_group_IT_number 71
_space_group_name_Hall '-I 2 2'
loop_
_atom_site_label
_atom_site_type_symbol
_atom_site_fract_x
_atom_site_fract_y
_atom_site_fract_z
_atom_site_occupancy
Mn1 Mn 0.000 0.000 0.250 1
P1 P 0.000 0.500 0.115 1

# PBE MnP, relaxed
# - formation enthalpy at 0 K (eV per atom) = -0.2903
# - density of states at the Fermi level (states/eV/cell) = 1.08
data_MnP
_cell_length_a 5.694
_cell_length_b 4.081
_cell_length_c 4.045
_cell_angle_alpha 90.00
_cell_angle_beta 90.00
_cell_angle_gamma 90.00
_space_group_name_H-M_alt 'P n m a'
_space_group_IT_number 62
loop_
_space_group_symop_operation_xyz
'x,y,z'
'-x,-y,-z'
'-x+1/2,-y,z+1/2'
'x+1/2,y,-z+1/2'
'x+1/2,-y+1/2,-z+1/2'
'-x+1/2,y+1/2,z+1/2'
'-x,y+1/2,-z'
'x,-y+1/2,z'
loop_
_atom_site_label
_atom_site_type_symbol
_atom_site_fract_x
_atom_site_fract_y
_atom_site_fract_z
_atom_site_occupancy
Mn1 Mn 0.244 0.250 0.154 1
P1 P 0.072 0.250 0.665 1

For each record above, in turn, the calculated magnetic moment values are 0.0, 0.0, 0.0, 3.3, 2.8, 1.0, 4.0, 0.0, 0.8, 1.4, 5.9, 0.0 μB/cell.